First-principles (PBE) data for a relaxed Sc3Ga2Hg4 crystal, as listed in Alexandria via LeMat-Bulk.

Output
The value obtained for the mass density is 9.52 g/cm3. The value obtained for the calculated total energy is -58.8 eV per cell. Its magnetization is 0.0 μB/cell.

Cell lengths 10.5349, 4.6710, 8.7116 Å; angles 90.00, 118.86, 90.00 degrees
Space group C2/m (No. 12)
Unique sites:
Sc (0.0000, 0.0000, 0.0000)
Sc (0.1650, 0.5000, 0.6718)
Ga (0.1023, 0.5000, 0.2732)
Hg (0.0873, 0.0000, 0.4156)
Hg (0.1933, 0.5000, 0.0350)



First-principles (PBE) data for a relaxed MgTlZnPb crystal, as listed in Alexandria via LeMat-Bulk.

Output
The value obtained for the mass density is 8.33 g/cm3. The value obtained for the calculated total energy is -34.3 eV per cell. Its magnetization is 0.0 μB/cell.

Cell lengths 7.3666, 7.3666, 7.3666 Å; angles 90.00, 90.00, 90.00 degrees
Space group F-43m (No. 216)
Unique sites:
Mg (0.0000, 0.0000, 0.0000)
Tl (0.2500, 0.2500, 0.7500)
Zn (0.0000, 0.0000, 0.5000)
Pb (0.2500, 0.2500, 0.2500)



First-principles (PBE) data for a relaxed CsAcSb4 crystal, as listed in Alexandria via LeMat-Bulk.

Output
The value obtained for the mass density is 7.07 g/cm3. Its magnetization is 0.0 μB/cell. The value obtained for the uncorrected formation energy is -0.321 eV per atom.

Cell lengths 9.2661, 9.2661, 9.2661 Å; angles 90.00, 90.00, 90.00 degrees
Space group F-43m (No. 216)
Unique sites:
Cs (0.0000, 0.0000, 0.0000)
Ac (0.2500, 0.2500, 0.7500)
Sb (0.1239, 0.1239, 0.3761)



First-principles (PBE) data for a relaxed La2Tb5Ho12 crystal, as listed in Alexandria via LeMat-Bulk.

Output
The value obtained for the mass density is 8.15 g/cm3. The value obtained for the calculated total energy is -170.6 eV per cell. Its magnetization is 0.0 μB/cell.

Cell lengths 15.7845, 9.2381, 8.5318 Å; angles 90.00, 91.24, 90.00 degrees
Space group C2/m (No. 12)
Unique sites:
La (0.0000, 0.1875, 0.0000)
Tb (0.0000, 0.5000, 0.5000)
Tb (0.1979, 0.0000, 0.0082)
Tb (0.2324, 0.5000, 0.5769)
Ho (0.0580, 0.0000, 0.3283)
Ho (0.0938, 0.5000, 0.8829)
Ho (0.1260, 0.1907, 0.6502)
Ho (0.1568, 0.3199, 0.2461)